# MgCrCo2

Crystalline MgCrCo2 at its relaxed geometry (PBE-GGA, Alexandria).

POSCAR file:
```
MgCrCo2
1.0
6.489 0.000 0.000
0.000 6.489 0.000
3.245 3.245 2.617
Co Cr Mg
4 2 2
Direct
0.070 0.625 0.250 Co
0.875 0.930 0.750 Co
0.375 0.320 0.750 Co
0.680 0.125 0.250 Co
0.000 0.000 0.000 Cr
0.750 0.250 0.500 Cr
0.500 0.500 0.000 Mg
0.250 0.750 0.500 Mg
```

Calculated values
space-group type	I-42d
electronic total energy	-5.82	eV/atom

***

# Fe2RuPt

Crystalline Fe2RuPt at its relaxed geometry (PBE-GGA, Alexandria).

POSCAR file:
```
Fe2RuPt
1.0
8.759 -0.011 -0.007
8.348 2.651 -0.007
8.348 1.288 2.317
Ru Fe Pt
1 2 1
Direct
0.256 0.256 0.256 Ru
0.001 0.001 0.001 Fe
0.746 0.746 0.746 Fe
0.497 0.497 0.497 Pt
```

Calculated values
space-group type	R3m
electronic total energy	-8.02	eV/atom

***

# RbTeSe

Crystalline RbTeSe at its relaxed geometry (PBE-GGA, Alexandria).

POSCAR file:
```
RbTeSe
1.0
8.655 0.000 0.000
0.000 5.753 0.000
-3.389 0.000 10.400
Se Rb Te
4 4 4
Direct
0.154 0.396 0.393 Se
0.154 0.896 0.893 Se
0.846 0.896 0.107 Se
0.846 0.396 0.607 Se
0.295 0.376 0.767 Rb
0.705 0.376 0.233 Rb
0.705 0.876 0.733 Rb
0.295 0.876 0.267 Rb
0.500 0.407 0.500 Te
0.000 0.171 0.000 Te
0.500 0.907 0.000 Te
0.000 0.671 0.500 Te
```

Calculated values
energy above the lowest structure with this stoichiometry	28	meV per atom
space-group type	C2
energy relative to the elements, uncorrected	-627	meV/atom
electronic total energy	-3.16	eV/atom

***

# LaSmPu2S4

Crystalline LaSmPu2S4 at its relaxed geometry (PBE-GGA, Alexandria).

POSCAR file:
```
LaSmPu2S4
1.0
-2.462 3.057 0.824
0.841 -1.166 6.840
5.395 3.720 2.320
Pu La S Sm
2 1 4 1
Direct
0.500 0.000 0.500 Pu
0.000 0.000 0.000 Pu
0.500 0.500 0.000 La
0.500 0.758 0.252 S
0.000 0.238 0.259 S
0.000 0.762 0.741 S
0.500 0.242 0.748 S
0.000 0.500 0.500 Sm
```

Calculated values
space-group type	P2/m
energy relative to the elements, uncorrected	-1937	meV/atom
electronic total energy	-8.79	eV/atom

***

# Ho3UN4

Crystalline Ho3UN4 at its relaxed geometry (PBE-GGA, Alexandria).

POSCAR file:
```
Ho3UN4
1.0
-1.064 -1.609 -2.853
5.357 -2.530 -0.571
-3.474 -3.539 3.291
Ho N U
3 4 1
Direct
0.000 0.000 0.500 Ho
0.000 0.500 0.000 Ho
0.500 0.500 0.500 Ho
0.500 0.761 0.239 N
0.000 0.758 0.758 N
0.500 0.239 0.761 N
0.000 0.242 0.242 N
0.500 0.000 0.000 U
```

Calculated values
space-group type	Cmmm
energy relative to the elements, uncorrected	-1647	meV/atom
electronic total energy	-8.94	eV/atom